Compound: Cs2Rb2TcO4
Source: Alexandria via LeMat-Bulk
Functional: PBE
Structure: optimized geometry

Magnetic moment in μB/f.u.: 1.00
DFT total energy in eV/f.u.: -43.6
Energy relative to the elements, uncorrected in eV/atom: -1.084

Geometry as POSCAR:
```
Cs2Rb2TcO4
1.0
6.6141 -0.0508 -0.0734
-3.2194 5.7778 0.0734
-3.2194 -1.9613 5.4353
O Cs Tc Rb
4 2 1 2
Direct
0.4090 0.2045 0.2045 O
0.0000 0.2045 0.7955 O
0.5910 0.7955 0.7955 O
0.0000 0.7955 0.2045 O
0.5000 0.2500 0.7500 Cs
0.5000 0.7500 0.2500 Cs
0.0000 0.0000 0.0000 Tc
0.0000 0.3442 0.3442 Rb
0.0000 0.6558 0.6558 Rb
```

Compound: GaHgPt2
Source: Alexandria via LeMat-Bulk
Functional: PBE
Structure: optimized geometry

Relative energy among the computed polymorphs in meV per atom: 179
Energy relative to the elements in eV/f.u.: -0.54
Magnetic moment in μB/f.u.: 0.00
DFT total energy in eV/f.u.: -16.0

Geometry as POSCAR:
```
GaHgPt2
1.0
-3.3126 -2.4505 1.9803
-4.3841 1.0642 -0.7398
-2.6263 -2.7580 -2.5290
Hg Pt Ga
1 2 1
Direct
0.5000 0.5000 0.5000 Hg
0.2500 0.2500 0.2500 Pt
0.7500 0.7500 0.7500 Pt
0.0000 0.0000 0.0000 Ga
```

Compound: LiTiTeO5
Source: Alexandria via LeMat-Bulk
Functional: PBE
Structure: optimized geometry

Magnetic moment in μB/f.u.: 0.00
DFT total energy in eV/f.u.: -52.5
Energy relative to the elements, uncorrected in eV/atom: -1.844

Geometry as POSCAR:
```
LiTiTeO5
1.0
-4.4983 2.7474 -1.7918
-2.6708 -4.8795 0.2249
1.7062 2.2997 7.1515
O Te Li Ti
10 2 2 2
Direct
0.2816 0.3217 0.6484 O
0.7423 0.2268 0.4967 O
0.0315 0.9685 0.7500 O
0.2268 0.7423 0.9967 O
0.7184 0.6783 0.3516 O
0.6783 0.7184 0.8516 O
0.9685 0.0315 0.2500 O
0.7732 0.2577 0.0033 O
0.3217 0.2816 0.1484 O
0.2577 0.7732 0.5033 O
0.3114 0.6886 0.7500 Te
0.6886 0.3114 0.2500 Te
0.6707 0.3293 0.7500 Li
0.3293 0.6707 0.2500 Li
0.0000 0.0000 0.0000 Ti
0.0000 0.0000 0.5000 Ti
```

Compound: TlBRh3
Source: Alexandria via LeMat-Bulk
Functional: PBE
Structure: optimized geometry

Energy relative to the elements in eV/f.u.: 0.37
Magnetic moment in μB/f.u.: 0.00
DFT total energy in eV/f.u.: -30.7

Geometry as POSCAR:
```
TlBRh3
1.0
5.2579 0.0000 0.0000
0.0000 7.2031 0.0000
0.0000 0.0000 8.0941
Rh Tl B
12 4 4
Direct
0.5098 0.9342 0.6578 Rh
0.2683 0.7500 0.2263 Rh
0.4902 0.0658 0.3422 Rh
0.7683 0.7500 0.2737 Rh
0.4902 0.4342 0.3422 Rh
0.0098 0.9342 0.8422 Rh
0.9902 0.0658 0.1578 Rh
0.2317 0.2500 0.7263 Rh
0.7317 0.2500 0.7737 Rh
0.5098 0.5658 0.6578 Rh
0.9902 0.4342 0.1578 Rh
0.0098 0.5658 0.8422 Rh
0.5000 0.5000 0.0000 Tl
0.5000 0.0000 0.0000 Tl
0.0000 0.5000 0.5000 Tl
0.0000 0.0000 0.5000 Tl
0.9750 0.7500 0.0418 B
0.4750 0.7500 0.4582 B
0.0250 0.2500 0.9582 B
0.5250 0.2500 0.5418 B
```

Compound: TbSm5Dy
Source: Alexandria via LeMat-Bulk
Functional: PBE
Structure: optimized geometry

Relative energy among the computed polymorphs in meV per atom: 0
Energy relative to the elements in eV/f.u.: 1.27
Magnetic moment in μB/f.u.: 0.00
DFT total energy in eV/f.u.: -31.6

Geometry as POSCAR:
```
TbSm5Dy
1.0
-10.0511 2.6672 -0.5916
-16.6645 -1.0452 3.3854
-4.7925 2.9061 2.8180
Dy Sm Tb
1 5 1
Direct
0.5003 0.5000 0.4996 Dy
0.6361 0.2695 0.3505 Sm
0.7953 0.7302 0.6493 Sm
0.2045 0.2699 0.3510 Sm
0.3635 0.7306 0.6498 Sm
0.5002 0.9998 0.0000 Sm
0.0000 0.0000 0.9998 Tb
```

Compound: TaVBi
Source: Alexandria via LeMat-Bulk
Functional: PBE
Structure: optimized geometry

Energy relative to the elements in eV/f.u.: 1.09
Magnetic moment in μB/f.u.: 0.00
DFT total energy in eV/f.u.: -23.8

Geometry as POSCAR:
```
TaVBi
1.0
3.1435 0.0000 0.0000
1.5717 4.1636 -1.8306
1.5717 -3.9702 12.6498
Bi Ta V
2 2 2
Direct
0.1514 0.5409 0.1564 Bi
0.8486 0.4591 0.8436 Bi
0.1439 0.3565 0.3557 Ta
0.8561 0.6435 0.6443 Ta
0.2690 0.9054 0.5567 V
0.7310 0.0946 0.4433 V
```

Compound: Sm2Y3PuS6
Source: Alexandria via LeMat-Bulk
Functional: PBE
Structure: optimized geometry

Magnetic moment in μB/f.u.: 5.90
DFT total energy in eV/f.u.: -91.8
Energy relative to the elements, uncorrected in eV/atom: -1.990

Geometry as POSCAR:
```
Sm2Y3PuS6
1.0
-3.2573 2.1998 -0.1829
-4.1616 -5.8840 3.3473
4.3732 3.5249 6.8364
Y S Pu Sm
3 6 1 2
Direct
0.1665 0.8358 0.3330 Y
0.5000 0.5000 0.0000 Y
0.8335 0.1642 0.6670 Y
0.9977 0.2511 0.9954 S
0.6654 0.5885 0.3309 S
0.3323 0.9213 0.6646 S
0.6677 0.0787 0.3354 S
0.3346 0.4115 0.6691 S
0.0023 0.7489 0.0046 S
0.5000 0.0000 0.0000 Pu
0.1650 0.3305 0.3300 Sm
0.8350 0.6695 0.6700 Sm
```

Compound: LiTlS2
Source: Alexandria via LeMat-Bulk
Functional: PBE
Structure: optimized geometry

Magnetic moment in μB/f.u.: 0.00
DFT total energy in eV/f.u.: -14.8
Energy relative to the elements, uncorrected in eV/atom: -0.572

Geometry as POSCAR:
```
LiTlS2
1.0
-2.9186 6.3547 2.0133
-4.3106 -1.0179 -3.0338
-1.3408 -4.2125 3.3162
S Tl Li
4 2 2
Direct
0.1379 0.9141 0.3060 S
0.7860 0.6901 0.5859 S
0.2404 0.1901 0.1184 S
0.8884 0.4140 0.3985 S
0.3902 0.4897 0.6158 Tl
0.6364 0.9897 0.0883 Tl
0.9922 0.5474 0.0417 Li
0.0342 0.0473 0.6630 Li
```

Compound: Hf2InBr8
Source: Alexandria via LeMat-Bulk
Functional: PBE
Structure: optimized geometry

Magnetic moment in μB/f.u.: 1.02
DFT total energy in eV/f.u.: -48.3
Energy relative to the elements, uncorrected in eV/atom: -1.118

Geometry as POSCAR:
```
Hf2InBr8
1.0
-7.1323 1.0614 0.5013
-1.1608 -5.4122 -6.3244
-0.4818 -6.4001 5.4263
Br In Hf
8 1 2
Direct
0.3295 0.8017 0.8017 Br
0.8095 0.6269 0.6269 Br
0.2826 0.3101 0.9124 Br
0.1905 0.3731 0.3731 Br
0.7174 0.0876 0.6899 Br
0.7174 0.6899 0.0876 Br
0.6705 0.1983 0.1983 Br
0.2826 0.9124 0.3101 Br
0.0000 0.0000 0.0000 In
0.3227 0.1855 0.1855 Hf
0.6773 0.8145 0.8145 Hf
```

Compound: Zr3Al
Source: Alexandria via LeMat-Bulk
Functional: PBE
Structure: optimized geometry

Energy relative to the elements in eV/f.u.: -0.45
Magnetic moment in μB/f.u.: 0.00
DFT total energy in eV/f.u.: -29.8

Geometry as POSCAR:
```
Zr3Al
1.0
5.1675 0.0000 0.0000
0.0000 3.0621 -0.0150
0.0000 0.6177 5.4241
Zr Al
3 1
Direct
0.0000 0.5000 0.5000 Zr
0.5000 0.7871 0.7548 Zr
0.5000 0.2129 0.2452 Zr
0.0000 0.0000 0.0000 Al
```

Compound: DyAlAg3
Source: Alexandria via LeMat-Bulk
Functional: PBE
Structure: optimized geometry

Relative energy among the computed polymorphs in meV per atom: 0
Energy relative to the elements in eV/f.u.: -1.17
Magnetic moment in μB/f.u.: 0.00
DFT total energy in eV/f.u.: -18.1

Geometry as POSCAR:
```
DyAlAg3
1.0
4.5814 0.0000 0.0001
0.0000 7.0381 1.7120
-0.0001 0.3846 6.3019
Dy Ag Al
2 6 2
Direct
0.3810 0.5372 0.2158 Dy
0.8810 0.1376 0.5902 Dy
0.8810 0.2986 0.0471 Ag
0.3810 0.9599 0.9060 Ag
0.3810 0.3762 0.7590 Ag
0.8810 0.5786 0.5333 Ag
0.8810 0.7148 0.9001 Ag
0.3810 0.0961 0.2727 Ag
0.3810 0.7729 0.6027 Al
0.8810 0.9019 0.2033 Al
```

Compound: Rb8I5Br3
Source: Alexandria via LeMat-Bulk
Functional: PBE
Structure: optimized geometry

Magnetic moment in μB/f.u.: 0.00
DFT total energy in eV/f.u.: -45.9
Energy relative to the elements, uncorrected in eV/atom: -1.587

Geometry as POSCAR:
```
Rb8I5Br3
1.0
8.9180 0.0000 5.1082
2.9960 8.3997 5.1082
-0.0196 -0.0138 10.3728
Rb I Br
8 5 3
Direct
0.7616 0.2503 0.7379 Rb
0.2443 0.2443 0.2671 Rb
0.7557 0.7557 0.7329 Rb
0.2384 0.7497 0.2621 Rb
0.7497 0.2384 0.2621 Rb
0.2503 0.2503 0.7379 Rb
0.7497 0.7497 0.2621 Rb
0.2503 0.7616 0.7379 Rb
0.0000 0.5000 0.0000 I
0.5000 0.5000 0.5000 I
0.5000 0.0000 0.0000 I
0.0000 0.0000 0.0000 I
0.5000 0.5000 0.0000 I
0.0000 0.5000 0.5000 Br
0.0000 0.0000 0.5000 Br
0.5000 0.0000 0.5000 Br
```

Compound: Y2CrRh2
Source: Alexandria via LeMat-Bulk
Functional: PBE
Structure: optimized geometry

Relative energy among the computed polymorphs in meV per atom: 0
Energy relative to the elements in eV/f.u.: -1.47
Magnetic moment in μB/f.u.: 0.00
DFT total energy in eV/f.u.: -38.7

Geometry as POSCAR:
```
Y2CrRh2
1.0
-0.1045 -2.2627 -6.1891
6.4567 -1.2731 0.3564
-0.9020 -4.1459 1.5310
Rh Y Cr
4 4 2
Direct
0.6455 0.1455 0.0000 Rh
0.8545 0.6455 0.0000 Rh
0.1455 0.3545 0.0000 Rh
0.3545 0.8545 0.0000 Rh
0.6750 0.8250 0.5000 Y
0.8250 0.3250 0.5000 Y
0.3250 0.1750 0.5000 Y
0.1750 0.6750 0.5000 Y
0.0000 0.0000 0.0000 Cr
0.5000 0.5000 0.0000 Cr
```

Compound: KZrAs2Br
Source: Alexandria via LeMat-Bulk
Functional: PBE
Structure: optimized geometry

Relative energy among the computed polymorphs in meV per atom: 1710
Magnetic moment in μB/f.u.: 0.47
DFT total energy in eV/f.u.: -15.2
Energy relative to the elements, uncorrected in eV/atom: 1.079

Geometry as POSCAR:
```
KZrAs2Br
1.0
-1.9931 -4.8975 0.2352
4.3496 -1.8832 -2.3554
2.2930 -0.7028 4.7962
As Zr K Br
2 1 1 1
Direct
0.0000 0.5000 0.0000 As
0.5000 0.0000 0.0000 As
0.5000 0.5000 0.5000 Zr
0.0000 0.0000 0.0000 K
0.0000 0.0000 0.5000 Br
```

Compound: CrCu2Ni9
Source: Alexandria via LeMat-Bulk
Functional: PBE
Structure: optimized geometry

Energy relative to the elements in eV/f.u.: 0.19
Magnetic moment in μB/f.u.: 4.57
DFT total energy in eV/f.u.: -69.7

Geometry as POSCAR:
```
CrCu2Ni9
1.0
3.5378 0.0000 0.0000
0.0000 3.5378 0.0000
0.0000 0.0000 10.6053
Ni Cu Cr
9 2 1
Direct
0.5000 0.0000 0.5000 Ni
0.5000 0.0000 0.8363 Ni
0.5000 0.0000 0.1637 Ni
0.0000 0.5000 0.5000 Ni
0.5000 0.5000 0.6669 Ni
0.5000 0.5000 0.3331 Ni
0.0000 0.5000 0.1637 Ni
0.5000 0.5000 0.0000 Ni
0.0000 0.5000 0.8363 Ni
0.0000 0.0000 0.3334 Cu
0.0000 0.0000 0.6666 Cu
0.0000 0.0000 0.0000 Cr
```

Compound: LaY2Fe
Source: Alexandria via LeMat-Bulk
Functional: PBE
Structure: optimized geometry

Relative energy among the computed polymorphs in meV per atom: 115
Energy relative to the elements in eV/f.u.: 0.85
Magnetic moment in μB/f.u.: 1.34
DFT total energy in eV/f.u.: -25.5

Geometry as POSCAR:
```
LaY2Fe
1.0
-9.0330 3.8796 -2.4525
-8.5055 1.6288 -5.2598
-9.8954 0.3598 -2.1480
Fe La Y
1 1 2
Direct
0.2500 0.2500 0.2500 Fe
0.7500 0.7500 0.7500 La
0.9769 0.9769 0.9769 Y
0.5231 0.5231 0.5231 Y
```

Compound: Pm6Zn5Ni
Source: Alexandria via LeMat-Bulk
Functional: PBE
Structure: optimized geometry

Energy relative to the elements in eV/f.u.: -3.64
Magnetic moment in μB/f.u.: 0.00
DFT total energy in eV/f.u.: -44.3

Geometry as POSCAR:
```
Pm6Zn5Ni
1.0
4.9250 0.0209 -1.4373
-0.9983 6.3897 -3.3272
-0.0851 0.4672 8.8714
Zn Ni Pm
5 1 6
Direct
0.6776 0.1776 0.3553 Zn
0.3224 0.8224 0.6447 Zn
0.3318 0.3318 0.6636 Zn
0.0000 0.5000 0.0000 Zn
0.6682 0.6682 0.3364 Zn
0.0000 0.0000 0.0000 Ni
0.1617 0.4048 0.3233 Pm
0.5001 0.2393 0.0000 Pm
0.4999 0.7607 0.0000 Pm
0.8383 0.0815 0.6767 Pm
0.8383 0.5952 0.6767 Pm
0.1617 0.9185 0.3233 Pm
```

Compound: KZrV2S
Source: Alexandria via LeMat-Bulk
Functional: PBE
Structure: optimized geometry

Relative energy among the computed polymorphs in meV per atom: 1352
Magnetic moment in μB/f.u.: 0.00
DFT total energy in eV/f.u.: -22.7
Energy relative to the elements, uncorrected in eV/atom: 1.863

Geometry as POSCAR:
```
KZrV2S
1.0
-3.2910 -1.2464 2.3100
0.0473 -4.7150 -2.4767
2.6245 -1.5098 2.9245
S V Zr K
1 2 1 1
Direct
0.0000 0.5000 0.0000 S
0.5000 0.0000 0.0000 V
0.0000 0.0000 0.5000 V
0.5000 0.5000 0.5000 Zr
0.0000 0.0000 0.0000 K
```

Compound: LaYErHg
Source: Alexandria via LeMat-Bulk
Functional: PBE
Structure: optimized geometry

Relative energy among the computed polymorphs in meV per atom: 151
Energy relative to the elements in eV/f.u.: -0.33
Magnetic moment in μB/f.u.: 0.26
DFT total energy in eV/f.u.: -16.6

Geometry as POSCAR:
```
LaYErHg
1.0
5.5103 0.0000 0.0000
2.7551 4.7721 0.0000
2.7551 1.5907 4.4991
La Y Er Hg
1 1 1 1
Direct
0.7500 0.7500 0.7500 La
0.2500 0.2500 0.2500 Y
0.5000 0.5000 0.5000 Er
0.0000 0.0000 0.0000 Hg
```

Compound: LiGa6Tc2
Source: Alexandria via LeMat-Bulk
Functional: PBE
Structure: optimized geometry

Energy relative to the elements in eV/f.u.: 0.55
Magnetic moment in μB/f.u.: 0.00
DFT total energy in eV/f.u.: -40.3

Geometry as POSCAR:
```
LiGa6Tc2
1.0
5.1960 0.0000 0.0000
2.5980 4.4999 0.0000
2.5980 1.5000 6.4639
Ga Li Tc
6 1 2
Direct
0.0600 0.0599 0.3068 Ga
0.7721 0.2684 0.6912 Ga
0.0599 0.5733 0.3068 Ga
0.2684 0.7721 0.6912 Ga
0.2684 0.2684 0.6912 Ga
0.5733 0.0600 0.3068 Ga
0.3333 0.3333 0.0000 Li
0.6062 0.6062 0.1815 Tc
0.7242 0.7242 0.8275 Tc
```

Compound: La4Ag2N
Source: Alexandria via LeMat-Bulk
Functional: PBE
Structure: optimized geometry

Relative energy among the computed polymorphs in meV per atom: 56
Magnetic moment in μB/f.u.: 0.00
DFT total energy in eV/f.u.: -37.2
Energy relative to the elements, uncorrected in eV/atom: -0.493

Geometry as POSCAR:
```
La4Ag2N
1.0
-2.5536 2.7865 -3.4658
2.8763 -2.0132 -3.7378
-4.8429 -5.2278 -4.4286
La Ag N
4 2 1
Direct
0.0000 0.5000 0.0000 La
0.5000 0.0000 0.0000 La
0.1703 0.1703 0.6594 La
0.8297 0.8297 0.3406 La
0.6300 0.6300 0.7399 Ag
0.3700 0.3700 0.2601 Ag
0.0000 0.0000 0.0000 N
```

Compound: CoReCl2
Source: Alexandria via LeMat-Bulk
Functional: PBE
Structure: optimized geometry

Relative energy among the computed polymorphs in meV per atom: 715
Magnetic moment in μB/f.u.: 1.73
DFT total energy in eV/f.u.: -20.0
Energy relative to the elements, uncorrected in eV/atom: 0.808

Geometry as POSCAR:
```
CoReCl2
1.0
-2.1256 1.2530 1.8324
1.4804 -2.6304 0.5788
5.7129 4.0622 3.8495
Co Cl Re
1 2 1
Direct
0.5000 0.5000 0.2500 Co
0.0000 0.0000 0.4949 Cl
0.0000 0.0000 0.0051 Cl
0.5000 0.5000 0.7500 Re
```

Compound: Li4Zn4Ni
Source: Alexandria via LeMat-Bulk
Functional: PBE
Structure: optimized geometry

Energy relative to the elements in eV/f.u.: -1.31
Magnetic moment in μB/f.u.: 0.00
DFT total energy in eV/f.u.: -19.8

Geometry as POSCAR:
```
Li4Zn4Ni
1.0
-0.9760 3.3309 0.9366
-5.9002 -0.3568 2.0201
1.4766 0.6767 6.0318
Li Zn Ni
4 4 1
Direct
0.8198 0.1805 0.6799 Li
0.5003 0.1799 0.3195 Li
0.4997 0.8201 0.6805 Li
0.1802 0.8195 0.3201 Li
0.8412 0.8173 0.0002 Zn
0.1585 0.5002 0.6827 Zn
0.1588 0.1827 0.9998 Zn
0.8415 0.4998 0.3173 Zn
0.5000 0.5000 0.0000 Ni
```

Compound: SrScCl2
Source: Alexandria via LeMat-Bulk
Functional: PBE
Structure: optimized geometry

Relative energy among the computed polymorphs in meV per atom: 252
Magnetic moment in μB/f.u.: 0.00
DFT total energy in eV/f.u.: -16.2
Energy relative to the elements, uncorrected in eV/atom: -1.122

Geometry as POSCAR:
```
SrScCl2
1.0
6.2848 0.0000 0.0000
0.0000 6.2848 0.0000
3.1424 3.1424 6.3788
Cl Sr Sc
4 2 2
Direct
0.5732 0.1250 0.2500 Cl
0.1768 0.6250 0.2500 Cl
0.3750 0.4268 0.7500 Cl
0.8750 0.8232 0.7500 Cl
0.7500 0.2500 0.5000 Sr
0.0000 0.0000 0.0000 Sr
0.2500 0.7500 0.5000 Sc
0.5000 0.5000 0.0000 Sc
```